1.
Below is a relaxed structure of TbPr6Tl4, with properties calculated at the PBE-GGA level.

Cell: 9.7813 9.7813 9.7813 Å, 57.39 140.31 140.31°
Atoms (fractional coordinates):
Tl 0.4826 0.3755 0.3755
Tl 0.5174 0.8929 0.8929
Tl 0.0000 0.6245 0.1071
Tl 0.0000 0.1071 0.6245
Pr 0.0000 0.9151 0.4429
Pr 0.5000 0.5000 0.0000
Pr 0.5000 0.0000 0.5000
Pr 0.0000 0.4429 0.9151
Pr 0.5278 0.0849 0.0849
Pr 0.4722 0.5571 0.5571
Tb 0.0000 0.0000 0.0000

Computed properties:
Energy of formation, eV/atom: -0.17



2.
Below is a relaxed structure of Pm5Sm2YHo, with properties calculated at the PBE-GGA level.

Cell: 8.6759 8.6759 10.2067 Å, 115.15 115.15 90.00°
Atoms (fractional coordinates):
Pm 0.5713 0.6468 0.7181
Pm 0.4287 0.3532 0.2819
Pm 0.3532 0.8532 0.2819
Pm 0.8532 0.9287 0.2819
Pm 0.0713 0.5713 0.7181
Pm 0.1468 0.0713 0.7181
Pm 0.6468 0.1468 0.7181
Pm 0.9287 0.4287 0.2819
Pm 0.5000 0.5000 0.0000
Pm 0.0000 0.0000 0.0000
Sm 0.8802 0.6198 0.0000
Sm 0.6198 0.1198 0.0000
Sm 0.1198 0.3802 0.0000
Sm 0.3802 0.8802 0.0000
Y 0.7500 0.7500 0.5000
Y 0.2500 0.2500 0.5000
Ho 0.7500 0.2500 0.5000
Ho 0.2500 0.7500 0.5000

Computed properties:
Energy of formation, eV/atom: 0.28



3.
Below is a relaxed structure of LiPt2Br, with properties calculated at the PBE-GGA level.

Cell: 2.8437 4.6614 5.1962 Å, 90.00 90.00 90.00°
Atoms (fractional coordinates):
Li 0.0000 0.5000 0.5000
Pt 0.5000 0.5000 0.0000
Pt 0.0000 0.0000 0.0000
Br 0.5000 0.0000 0.5000

Computed properties:
Energy above the most stable polymorph in this dataset, meV/atom: 149
Uncorrected formation energy, eV per formula unit: -0.3



4.
Below is a relaxed structure of Ca2Mg2Cu3, with properties calculated at the PBE-GGA level.

Cell: 8.2079 8.2079 11.9057 Å, 51.35 51.35 30.48°
Atoms (fractional coordinates):
Cu 0.9257 0.9257 0.1297
Cu 0.2633 0.2633 0.5518
Cu 0.8069 0.8069 0.9345
Cu 0.7367 0.7367 0.4482
Cu 0.1931 0.1931 0.0655
Cu 0.0743 0.0743 0.8703
Ca 0.6857 0.6857 0.2493
Ca 0.0511 0.0511 0.6309
Ca 0.9489 0.9489 0.3691
Ca 0.3143 0.3143 0.7507
Mg 0.3287 0.3287 0.2861
Mg 0.6713 0.6713 0.7139
Mg 0.4117 0.4117 0.9642
Mg 0.5883 0.5883 0.0358

Computed properties:
Energy above the most stable polymorph in this dataset, meV/atom: 0
Energy of formation, eV/atom: -0.09



5.
Below is a relaxed structure of Cs2In2Te5, with properties calculated at the PBE-GGA level.

Cell: 5.2990 7.6972 11.2246 Å, 101.84 90.00 110.13°
Atoms (fractional coordinates):
In 0.1684 0.3368 0.8624
In 0.8316 0.6632 0.1376
Te 0.8950 0.7899 0.3831
Te 0.3621 0.7242 0.0101
Te 0.6379 0.2758 0.9899
Te 0.0000 0.0000 0.0000
Te 0.1050 0.2101 0.6169
Cs 0.4071 0.8143 0.6539
Cs 0.5929 0.1857 0.3461

Computed properties:
Uncorrected formation energy, eV per formula unit: -4.3



6.
Below is a relaxed structure of Rb3PaF7, with properties calculated at the PBE-GGA level.

Cell: 6.3582 6.3582 7.4784 Å, 65.73 65.73 87.72°
Atoms (fractional coordinates):
F 0.8655 0.8655 0.8013
F 0.6493 0.6493 0.2512
F 0.9538 0.3117 0.7803
F 0.0866 0.6577 0.2318
F 0.3117 0.9538 0.7803
F 0.1360 0.1360 0.1463
F 0.6577 0.0866 0.2318
Pa 0.9600 0.9600 0.0252
Rb 0.2390 0.7664 0.4933
Rb 0.7664 0.2390 0.4933
Rb 0.4989 0.4989 0.0152

Computed properties:
Uncorrected formation energy, eV per formula unit: -36.5



7.
Below is a relaxed structure of RbSbS3, with properties calculated at the PBE-GGA level.

Cell: 4.8858 8.0766 8.8400 Å, 90.00 112.21 90.00°
Atoms (fractional coordinates):
Rb 0.3644 0.4922 0.8121
Rb 0.6356 0.9922 0.1879
S 0.0734 0.6930 0.0747
S 0.9266 0.1930 0.9253
S 0.5613 0.4483 0.4588
S 0.1688 0.1351 0.5627
S 0.4387 0.9483 0.5412
S 0.8312 0.6351 0.4373
Sb 0.0326 0.4815 0.2475
Sb 0.9674 0.9815 0.7525

Computed properties:
Energy above the most stable polymorph in this dataset, meV/atom: 0
Uncorrected formation energy, eV per formula unit: -2.7



8.
Below is a relaxed structure of CeSiRu2, with properties calculated at the PBE-GGA level.

Cell: 3.0510 3.0510 6.9245 Å, 90.00 90.00 90.00°
Atoms (fractional coordinates):
Ru 0.0000 0.0000 0.1982
Ru 0.0000 0.0000 0.8018
Ce 0.5000 0.5000 0.5000
Si 0.5000 0.5000 0.0000

Computed properties:
Uncorrected formation energy, eV per formula unit: -1.6



Computed values of VASP energy (unit: eV/f.u.) for the preceding records, in sequence: -44.68; -41.70; -15.99; -20.09; -27.15; -62.01; -20.18; -31.53.
Computed values of mass density (unit: g/cm3) for the preceding records, in sequence: 7.993; 6.921; 11.500; 3.420; 4.487; 4.151; 3.120; 9.541.